(1)
DFT (GGA-PBE) results for a relaxed VP2Ir crystal.

Properties
The theoretical density is 9.845 Mg/m³. The calculated formation energy is -288 meV/atom. The excess energy over the best structure of this formula in the dataset comes out at 0.00 kcal/mol of atoms.

Cell: 5.9044 5.9044 5.9044 Å, 90.00 90.00 90.00°
With the nearest neighbours (Å) after each atom.
Space group Fm-3m (No. 225)
One atom of each set of equivalent atoms:
V1 0.0000 0.0000 0.0000  8 P 2.56
P1 0.2500 0.2500 0.2500  4 Ir 2.56, 4 V 2.56
Ir1 0.0000 0.0000 0.5000  8 P 2.56



(2)
DFT (GGA-PBE) results for a relaxed ZrAlAs2 crystal.

Properties
The theoretical density is 5.644 Mg/m³. The calculated formation energy is -576 meV/atom.

Cell: 3.7021 3.7021 19.9336 Å, 90.00 90.00 120.00°
With the nearest neighbours (Å) after each atom.
Space group R-3m (No. 166, hexagonal axes)
One atom of each set of equivalent atoms:
Zr1 0.0000 0.0000 0.0000  6 As 2.77
Al1 0.0000 0.0000 0.5000  6 As 2.65
As1 0.0000 0.0000 0.2450  3 Al 2.65, 3 Zr 2.77